No. 1
Mo3Pt | PBE | relaxed

Calculated values
Magnetization ... 0.0 μB per cell
Calculated volume ... 126 Å³ per cell
ΔH_f (0 K) ... -0.51 eV per formula unit
Offset from the most stable computed form ... 0.0 meV/atom

Unit cell a=5.016 b=5.016 c=5.016 alpha=90.00 beta=90.00 gamma=90.00
Space group Pm-3n (No. 223)
Inequivalent atoms, fractional coordinates:
Mo (0.000, 0.250, 0.500)
Pt (0.000, 0.000, 0.000)

***

No. 2
CsNa2SrTl | PBE | relaxed

Calculated values
Magnetization ... 0.0 μB per cell
Calculated volume ... 262 Å³ per cell
ΔH_f (0 K) ... 0.02 eV per formula unit
Offset from the most stable computed form ... 0.0 meV/atom

Unit cell a=6.400 b=6.400 c=6.406 alpha=90.00 beta=90.00 gamma=90.00
Space group P4/mmm (No. 123)
Inequivalent atoms, fractional coordinates:
Cs (0.000, 0.000, 0.000)
Na (0.000, 0.500, 0.500)
Sr (0.500, 0.500, 0.000)
Tl (0.500, 0.500, 0.500)

***

No. 3
Sr7Al2Hg2 | PBE | relaxed

Calculated values
Magnetization ... 0.0 μB per cell
Calculated volume ... 885 Å³ per cell
ΔH_f (0 K) ... -1.15 eV per formula unit

Unit cell a=8.469 b=12.557 c=8.325 alpha=90.00 beta=90.00 gamma=90.00
Space group Cmmm (No. 65)
Inequivalent atoms, fractional coordinates:
Sr (0.000, 0.000, 0.000)
Sr (0.000, 0.500, 0.264)
Sr (0.250, 0.250, 0.281)
Al (0.155, 0.000, 0.500)
Hg (0.000, 0.298, 0.000)

***

No. 4
Nb2Ga3 | PBE | relaxed

Calculated values
Magnetization ... 0.0 μB per cell
Calculated volume ... 168 Å³ per cell
ΔH_f (0 K) ... -1.28 eV per formula unit

Unit cell a=9.460 b=3.657 c=6.439 alpha=90.00 beta=131.00 gamma=90.00
Space group C2/m (No. 12)
Inequivalent atoms, fractional coordinates:
Nb (0.090, 0.000, 0.375)
Ga (0.000, 0.500, 0.000)
Ga (0.200, 0.500, 0.794)

***

Question: Number 4 is which compound?
Answer: Nb2Ga3